## ZnFe2P2O10 (PBE+U)

Data for an optimized crystal structure of ZnFe2P2O10.

Properties
As for the symmetry: Fddd, No. 70. Its density of states at the Fermi level is 5.721 states/eV/cell. For the calculated total energy, the calculation gives -96.2 eV/f.u.

a = 9.9790 Å, b = 9.0385 Å, c = 6.5559 Å
α = 77.78°, β = 62.28°, γ = 39.95°
Positions (direct):
Fe: 0.6250 0.1250 0.6250
O: 0.5888 0.8828 0.1862
O: 0.3423 0.1862 0.8828
O: 0.9077 0.0638 0.3672
O: 0.0638 0.9077 0.6612
O: 0.8274 0.8274 0.6726
O: 0.9131 0.2819 0.5618
O: 0.6612 0.3672 0.0638
Fe: 0.1250 0.6250 0.6250
O: 0.3672 0.6612 0.9077
O: 0.3369 0.9681 0.6882
O: 0.6882 0.0069 0.3369
O: 0.5774 0.5774 0.4226
P: 0.7912 0.7912 0.2088
O: 0.1862 0.3423 0.5888
O: 0.0069 0.6882 0.9681
O: 0.5618 0.2431 0.9131
O: 0.2431 0.5618 0.2819
P: 0.4588 0.4588 0.0412
O: 0.4226 0.4226 0.5774
O: 0.9681 0.3369 0.0069
P: 0.0412 0.0412 0.4588
Fe: 0.6250 0.6250 0.1250
Zn: 0.0000 0.0000 0.0000
O: 0.2819 0.9131 0.2431
P: 0.2088 0.2088 0.7912
O: 0.8828 0.5888 0.3423
Fe: 0.6250 0.6250 0.6250
O: 0.6726 0.6726 0.8274
Zn: 0.2500 0.2500 0.2500